An optimized crystal structure of La2Dy2Sn2C. Source: Alexandria via LeMat-Bulk, functional PBE-GGA.

Lattice parameters (Å, degrees): 4.882 4.882 16.769 90.00 90.00 90.00
Space group I4/mmm (No. 139)
One atom of each set of equivalent atoms:
La (0.000, 0.000, 0.161) [4 per cell]
Dy (0.000, 0.500, 0.000) [4 per cell]
Sn (0.000, 0.000, 0.367) [4 per cell]
C (0.000, 0.000, 0.000) [2 per cell]

Values from the calculation:
* calculated formation energy: -0.722 eV/atom

***

An optimized crystal structure of LaDy2SnC. Source: Alexandria via LeMat-Bulk, functional PBE-GGA.

Lattice parameters (Å, degrees): 4.938 4.938 5.167 90.00 90.00 90.00
Space group P4/mmm (No. 123)
One atom of each set of equivalent atoms:
La (0.000, 0.000, 0.000) [1 per cell]
Dy (0.000, 0.500, 0.500) [2 per cell]
Sn (0.500, 0.500, 0.000) [1 per cell]
C (0.000, 0.000, 0.500) [1 per cell]

Values from the calculation:
* calculated formation energy: -0.548 eV/atom

***

The highest calculated formation energy belongs to which entry? LaDy2SnC

***

calculated formation energy of number 2 (LaDy2SnC)? -0.548 eV/atom

***

Number 1 is which compound? La2Dy2Sn2C